*one*
9
Lattice="4.990 0.000 0.000 2.495 7.503 0.000 2.495 0.000 7.503" Properties=species:S:1:pos:R:3 comment="Tb4DyHo4 | Alexandria | PBE | relaxed" sg="No. 139" dos_ef_per_ev_cell=12.74 pbc="T T T"
Ho 4.990 2.499 7.502
Dy 0.000 0.000 0.000
Tb 4.990 5.006 5.006
Ho 7.485 7.502 5.004
Tb 4.990 2.497 2.497
Ho 4.990 5.004 0.001
Tb 2.495 2.497 5.006
Ho 2.495 0.001 2.499
Tb 7.485 5.006 2.497



*two*
18
Lattice="1.522 7.004 -5.098 -7.344 -6.190 3.221 3.454 3.786 11.227" Properties=species:S:1:pos:R:3 comment="Tb4DyHo4 | Alexandria | PBE | relaxed" sg="No. 2" dos_ef_per_ev_cell=22.75 pbc="T T T"
Tb -0.198 5.163 4.539
Dy -2.050 1.352 1.865
Tb -2.508 -0.308 12.749
Tb 1.872 6.806 2.214
Ho 0.468 1.708 4.364
Tb -2.961 0.977 7.939
Ho -4.561 0.991 -0.627
Tb -4.239 -2.206 7.137
Ho -4.683 -0.920 2.315
Ho -2.835 2.892 4.986
Ho -0.438 1.337 10.434
Ho 2.315 5.520 7.035
Tb -2.170 -0.563 4.812
Dy -0.318 3.248 7.486
Ho -1.929 3.263 -1.083
Tb 0.593 3.623 1.412
Tb 0.140 4.908 -3.398
Ho 2.194 3.609 9.977



Which one is most stable, and which one is least stable? *two* is the most stable of them, while *one* is the least stable.